Record 1
## TbPr4Sm2Sc (PBE)

Data for TbPr4Sm2Sc after structural relaxation.

The structure in POSCAR format:
```
TbPr4Sm2Sc
1.0
-3.6552 -0.5254 -3.5987
-1.8798 -4.0684 2.5033
-7.9727 2.0056 7.8052
Sc Tb Pr Sm
1 1 4 2
direct
0.0000 0.5000 0.5000
0.5000 0.5000 0.0000
0.0000 0.2441 0.2554
0.5000 0.7451 0.2547
0.0000 0.7559 0.7446
0.5000 0.2549 0.7453
0.5000 0.0000 0.5000
0.0000 0.0000 0.0000
```

Summary:
Space-group type: Pmmm (47)



Record 2
## CsCuOs3 (PBE)

Data for CsCuOs3 after structural relaxation.

The structure in POSCAR format:
```
CsCuOs3
1.0
-1.5217 -4.4720 -0.0045
0.8822 -0.3048 4.6307
-4.3842 1.4908 0.9333
Cu Os Cs
1 3 1
direct
0.0000 0.0000 0.0000
0.0000 0.0000 0.5000
0.5000 0.0000 0.0000
0.0000 0.5000 0.0000
0.5000 0.5000 0.5000
```

Summary:
Energy above the most stable polymorph in this dataset: 0.0 meV/atom
Space-group type: Pm-3m (221)



Table of calculated formation energy (eV per atom), in record order: 0.028 2.550